Material: CsTl2Cr
Method: DFT, PBE-GGA
State: optimized geometry

Structure (CIF):
```
data_CsTl2Cr
_chemical_formula_sum 'Cs4 Tl8 Cr4'
_cell_length_a 6.323
_cell_length_b 6.323
_cell_length_c 18.333
_cell_angle_alpha 90.00
_cell_angle_beta 90.00
_cell_angle_gamma 90.00
_space_group_name_H-M_alt 'I 41/a m d'
_space_group_IT_number 141
loop_
_space_group_symop_operation_xyz
'x,y,z'
'-x,-y,-z'
'-y+1/4,x+3/4,z+1/4'
'y+1/4,-x+3/4,-z+1/4'
'-x+1/2,-y,z+1/2'
'x+1/2,y,-z+1/2'
'y+1/4,-x+1/4,z+3/4'
'-y+1/4,x+1/4,-z+3/4'
'x,-y,-z'
'-x,y,z'
'-y+1/4,-x+1/4,-z+3/4'
'y+1/4,x+1/4,z+3/4'
'-x+1/2,y,-z+1/2'
'x+1/2,-y,z+1/2'
'y+1/4,x+3/4,-z+1/4'
'-y+1/4,-x+3/4,z+1/4'
'x+1/2,y+1/2,z+1/2'
'-x+1/2,-y+1/2,-z+1/2'
'-y+3/4,x+1/4,z+3/4'
'y+3/4,-x+1/4,-z+3/4'
'-x,-y+1/2,z'
'x,y+1/2,-z'
'y+3/4,-x+3/4,z+1/4'
'-y+3/4,x+3/4,-z+1/4'
'x+1/2,-y+1/2,-z+1/2'
'-x+1/2,y+1/2,z+1/2'
'-y+3/4,-x+3/4,-z+1/4'
'y+3/4,x+3/4,z+1/4'
'-x,y+1/2,-z'
'x,-y+1/2,z'
'y+3/4,x+1/4,-z+3/4'
'-y+3/4,-x+1/4,z+3/4'
loop_
_atom_site_label
_atom_site_type_symbol
_atom_site_fract_x
_atom_site_fract_y
_atom_site_fract_z
_atom_site_occupancy
Cs1 Cs 0.000 0.250 0.375 1
Tl1 Tl 0.000 0.000 0.000 1
Cr1 Cr 0.000 0.250 0.875 1
```

Spin magnetization: 4.249 μB per formula unit
E: -0.2432 Ry/atom
Fermi-level density of states: 0.935 states/eV per atom

=====

Material: SbTe2AuSe
Method: DFT, PBE-GGA
State: optimized geometry

Structure (CIF):
```
data_SbTe2AuSe
_chemical_formula_sum 'Sb1 Te2 Au1 Se1'
_cell_length_a 5.410
_cell_length_b 5.410
_cell_length_c 5.478
_cell_angle_alpha 90.00
_cell_angle_beta 90.00
_cell_angle_gamma 90.00
_space_group_name_H-M_alt 'P 4/m m m'
_space_group_IT_number 123
_space_group_name_Hall '-P 4 2'
loop_
_atom_site_label
_atom_site_type_symbol
_atom_site_fract_x
_atom_site_fract_y
_atom_site_fract_z
_atom_site_occupancy
Sb1 Sb 0.000 0.000 0.000 1
Te1 Te 0.000 0.500 0.500 1
Au1 Au 0.500 0.500 0.000 1
Se1 Se 0.000 0.000 0.500 1
```

Spin magnetization: 0.502 μB per formula unit
E: -0.1954 Ry/atom
Fermi-level density of states: 1.245 states/eV per atom
E above lowest polymorph: 99 meV per atom
Energy relative to the elements, uncorrected: 0.7756 eV/atom

=====

Material: B5C
Method: DFT, PBE-GGA
State: optimized geometry

Structure (CIF):
```
data_B5C
_chemical_formula_sum 'B10 C2'
_cell_length_a 2.7441
_cell_length_b 2.7441
_cell_length_c 15.9134
_cell_angle_alpha 90.00
_cell_angle_beta 90.00
_cell_angle_gamma 120.00
_space_group_name_H-M_alt 'P 3 m 1'
_space_group_IT_number 156
loop_
_space_group_symop_operation_xyz
'x,y,z'
'-y,x-y,z'
'-x+y,-x,z'
'-y,-x,z'
'-x+y,y,z'
'x,x-y,z'
loop_
_atom_site_label
_atom_site_type_symbol
_atom_site_fract_x
_atom_site_fract_y
_atom_site_fract_z
_atom_site_occupancy
B1 B 0.0000 0.0000 0.0000 1
B2 B 0.0000 0.0000 0.1055 1
B3 B 0.0000 0.0000 0.5457 1
B4 B 0.0000 0.0000 0.6606 1
B5 B 0.3333 0.6667 0.1259 1
B6 B 0.3333 0.6667 0.3854 1
B7 B 0.3333 0.6667 0.7707 1
B8 B 0.6667 0.3333 0.4923 1
B9 B 0.6667 0.3333 0.8305 1
B10 B 0.6667 0.3333 0.9361 1
C1 C 0.3333 0.6667 0.6697 1
C2 C 0.6667 0.3333 0.3927 1
```

Spin magnetization: 0.000 μB per formula unit
E: -0.4752 Ry/atom
Fermi-level density of states: 0.301 states/eV per atom
E above lowest polymorph: 440 meV per atom

=====

Material: PmMgCuAs
Method: DFT, PBE-GGA
State: optimized geometry

Structure (CIF):
```
data_PmMgCuAs
_chemical_formula_sum 'Pm4 Mg4 Cu4 As4'
_cell_length_a 6.953
_cell_length_b 6.953
_cell_length_c 6.953
_cell_angle_alpha 90.00
_cell_angle_beta 90.00
_cell_angle_gamma 90.00
_space_group_name_H-M_alt 'F -4 3 m'
_space_group_IT_number 216
_space_group_name_Hall 'F -4 2 3'
loop_
_atom_site_label
_atom_site_type_symbol
_atom_site_fract_x
_atom_site_fract_y
_atom_site_fract_z
_atom_site_occupancy
Pm1 Pm 0.000 0.000 0.000 1
Mg1 Mg 0.000 0.000 0.500 1
Cu1 Cu 0.250 0.250 0.750 1
As1 As 0.250 0.250 0.250 1
```

Spin magnetization: 0.000 μB per formula unit
E: -0.3067 Ry/atom
Fermi-level density of states: 0.867 states/eV per atom

=====

Material: CdCuH
Method: DFT, PBE-GGA
State: optimized geometry

Structure (CIF):
```
data_CdCuH
_chemical_formula_sum 'Cd1 Cu1 H1'
_cell_length_a 2.867
_cell_length_b 3.280
_cell_length_c 4.229
_cell_angle_alpha 90.00
_cell_angle_beta 90.00
_cell_angle_gamma 90.00
_space_group_name_H-M_alt 'P m m 2'
_space_group_IT_number 25
loop_
_space_group_symop_operation_xyz
'x,y,z'
'-x,-y,z'
'-x,y,z'
'x,-y,z'
loop_
_atom_site_label
_atom_site_type_symbol
_atom_site_fract_x
_atom_site_fract_y
_atom_site_fract_z
_atom_site_occupancy
Cd1 Cd 0.000 0.000 0.000 1
Cu1 Cu 0.500 0.500 0.428 1
H1 H 0.000 0.500 0.623 1
```

Spin magnetization: 0.000 μB per formula unit
E: -0.1899 Ry/atom
Fermi-level density of states: 0.226 states/eV per atom
E above lowest polymorph: 86 meV per atom

=====

Material: YSi2AgSe
Method: DFT, PBE-GGA
State: optimized geometry

Structure (CIF):
```
data_YSi2AgSe
_chemical_formula_sum 'Y1 Si2 Ag1 Se1'
_cell_length_a 4.556
_cell_length_b 4.556
_cell_length_c 6.071
_cell_angle_alpha 90.00
_cell_angle_beta 90.00
_cell_angle_gamma 90.00
_space_group_name_H-M_alt 'P 4/m m m'
_space_group_IT_number 123
_space_group_name_Hall '-P 4 2'
loop_
_atom_site_label
_atom_site_type_symbol
_atom_site_fract_x
_atom_site_fract_y
_atom_site_fract_z
_atom_site_occupancy
Y1 Y 0.000 0.000 0.000 1
Si1 Si 0.000 0.500 0.500 1
Ag1 Ag 0.000 0.000 0.500 1
Se1 Se 0.500 0.500 0.000 1
```

Spin magnetization: 0.000 μB per formula unit
E: -0.3264 Ry/atom
Fermi-level density of states: 0.631 states/eV per atom
Energy relative to the elements, uncorrected: 0.2881 eV/atom